NaGeIr: optimized geometry, PBE-GGA.

Cell and atoms, written as CIF:
```
data_NaGeIr
_chemical_formula_sum 'Na2 Ge2 Ir2'
_cell_length_a 4.153
_cell_length_b 4.153
_cell_length_c 6.914
_cell_angle_alpha 90.00
_cell_angle_beta 90.00
_cell_angle_gamma 90.00
_space_group_name_H-M_alt 'P 1'
_space_group_IT_number 1
loop_
_space_group_symop_operation_xyz
'x,y,z'
loop_
_atom_site_label
_atom_site_type_symbol
_atom_site_fract_x
_atom_site_fract_y
_atom_site_fract_z
Ge1 Ge 0.000 0.500 0.300
Ge2 Ge 0.500 0.000 0.700
Ir1 Ir 0.000 0.000 0.500
Ir2 Ir 0.500 0.500 0.500
Na1 Na 0.500 0.000 0.156
Na2 Na 0.000 0.500 0.844
```

Values from the calculation:
Its space-group type is P4/nmm. The value obtained for the size of the total moment is 0.0 μB per formula unit. The calculated total energy is -31.7 eV per cell. The value obtained for the volume is 119.2 Å³ per cell. Its crystal system is tetragonal.

Na4NiGe2Ir: optimized geometry, PBE-GGA.

Cell and atoms, written as CIF:
```
data_Na4NiGe2Ir
_chemical_formula_sum 'Na4 Ni1 Ge2 Ir1'
_cell_length_a 4.609
_cell_length_b 4.609
_cell_length_c 6.456
_cell_angle_alpha 90.00
_cell_angle_beta 90.00
_cell_angle_gamma 90.00
_space_group_name_H-M_alt 'P 1'
_space_group_IT_number 1
loop_
_space_group_symop_operation_xyz
'x,y,z'
loop_
_atom_site_label
_atom_site_type_symbol
_atom_site_fract_x
_atom_site_fract_y
_atom_site_fract_z
Ge1 Ge 0.500 0.000 0.237
Ge2 Ge 0.000 0.500 0.763
Ir1 Ir 0.000 0.000 0.000
Na1 Na 0.500 0.500 0.000
Na2 Na 0.000 0.500 0.263
Na3 Na 0.000 0.000 0.500
Na4 Na 0.500 0.000 0.737
Ni1 Ni 0.500 0.500 0.500
```

Values from the calculation:
Its space-group type is P-4m2. The value obtained for the size of the total moment is 0.0 μB per formula unit. The calculated total energy is -27.7 eV per cell. The value obtained for the volume is 137.2 Å³ per cell. Its crystal system is tetragonal.